DFT (PBE+U) results for Y2MgMn2S2O5 after structural relaxation.

Properties
Magnetization   8.1 μB/f.u.
Offset from the most stable computed form   92 meV per atom
Final energy   -7.242 eV/atom
Calculated volume   342 Å³/cell

Cell and atoms, written as CIF:
```
data_Y2MgMn2S2O5
_symmetry_space_group_name_H-M 'C 1 m 1'
_symmetry_Int_Tables_number 8
_symmetry_space_group_name_Hall 'C -2y'
_cell_length_a 5.516
_cell_length_b 5.472
_cell_length_c 11.572
_cell_angle_alpha 90.00
_cell_angle_beta 101.89
_cell_angle_gamma 90.00
loop_
_atom_site_label
_atom_site_fract_x
_atom_site_fract_y
_atom_site_fract_z
_atom_site_occupancy
Y1 0.000 0.000 0.000 1
Y2 0.151 0.500 0.346 1
Mg1 0.440 0.000 0.842 1
Mn1 0.220 0.000 0.499 1
Mn2 0.452 0.500 0.729 1
S1 0.041 0.500 0.092 1
S2 0.118 0.000 0.269 1
O1 0.191 0.246 0.866 1
O2 0.275 0.000 0.664 1
O3 0.454 0.251 0.471 1
```